A plane-wave DFT calculation with PBE was carried out for a geometry-optimized CePaSbPb structure.

Properties
Size of the total moment = 2.2 μB/f.u.
E_tot = -24.44 eV for the cell shown
Density of states at the Fermi level = 2.571 states/eV/atom
ρ = 10.419 g/cm3

Cell lengths 5.4039, 5.4039, 5.4039 Å; angles 60.00, 60.00, 60.00 degrees
Closest atoms and distances in Å follow each position.
Sites, in units of the cell vectors:
Sb  0.0000  0.0000  0.0000  4 Ce 3.31, 4 Pa 3.31
Pa  0.7500  0.7500  0.7500  4 Pb 3.31, 4 Sb 3.31
Pb  0.5000  0.5000  0.5000  4 Pa 3.31, 4 Ce 3.31
Ce  0.2500  0.2500  0.2500  4 Pb 3.31, 4 Sb 3.31

A plane-wave DFT calculation with PBE was carried out for a geometry-optimized LaIn3Au4 structure.

Properties
Size of the total moment = 0.0 μB/f.u.
Energy of formation = -434 meV per atom
Density of states at the Fermi level = 0.343 states/eV/atom
ρ = 11.554 g/cm3

Cell lengths 4.6905, 4.6905, 9.9643 Å; angles 76.39, 76.39, 60.00 degrees
Closest atoms and distances in Å follow each position.
Sites, in units of the cell vectors:
La  0.0000  0.0000  0.0000  6 Au 3.16
Au  0.3901  0.3901  0.8296  4 In 2.84-3.16, 3 La 3.16
In  0.5000  0.5000  0.5000  8 Au 2.93-3.16
Au  0.6099  0.6099  0.1704  4 In 2.84-3.16, 3 La 3.16
Au  0.8720  0.8720  0.3841  6 In 2.93-2.96
In  0.7529  0.7529  0.7413  6 Au 2.84-2.96
In  0.2471  0.2471  0.2587  6 Au 2.84-2.96
Au  0.1280  0.1280  0.6159  6 In 2.93-2.96

A plane-wave DFT calculation with PBE was carried out for a geometry-optimized BaAgGeP2 structure.

Properties
Size of the total moment = 0.0 μB/f.u.
Energy of formation = -326 meV per atom
Density of states at the Fermi level = 0.232 states/eV/atom
ρ = 4.958 g/cm3

Cell lengths 6.1382, 7.2265, 6.3344 Å; angles 90.00, 90.00, 115.13 degrees
Closest atoms and distances in Å follow each position.
Sites, in units of the cell vectors:
Ag  0.5000  0.0000  0.5000  2 P 2.42
P  0.8857  0.7714  0.2002  1 Ag 2.42, 2 Ge 2.49
Ba  0.2500  0.5000  0.2417  6 P 3.31-3.56, 2 Ag 3.66
Ge  0.2500  0.0000  0.0000  4 P 2.49
P  0.3857  0.7714  0.7998  1 Ag 2.42, 2 Ge 2.49
Ge  0.7500  0.0000  0.0000  4 P 2.49
Ba  0.7500  0.5000  0.7583  6 P 3.31-3.56, 2 Ag 3.66
Ag  0.0000  0.0000  0.5000  2 P 2.42
P  0.1143  0.2286  0.7998  1 Ag 2.42, 2 Ge 2.49
P  0.6143  0.2286  0.2002  1 Ag 2.42, 2 Ge 2.49

A plane-wave DFT calculation with PBE was carried out for a geometry-optimized SrPm4Tl5 structure.

Properties
Size of the total moment = 0.0 μB/f.u.
Energy of formation = -388 meV per atom
Density of states at the Fermi level = 0.689 states/eV/atom
ρ = 9.309 g/cm3

Cell lengths 3.9104, 3.9104, 19.7100 Å; angles 90.00, 90.00, 90.00 degrees
Closest atoms and distances in Å follow each position.
Sites, in units of the cell vectors:
Tl  0.5000  0.5000  0.3061  8 Pm 3.36-3.40
Pm  0.0000  0.0000  0.2059  8 Tl 3.34-3.40
Tl  0.5000  0.5000  0.5000  8 Pm 3.37
Tl  0.5000  0.5000  0.1111  4 Pm 3.34, 4 Sr 3.53
Pm  0.0000  0.0000  0.5974  8 Tl 3.36-3.37
Pm  0.0000  0.0000  0.7941  8 Tl 3.34-3.40
Pm  0.0000  0.0000  0.4026  8 Tl 3.36-3.37
Tl  0.5000  0.5000  0.8889  4 Pm 3.34, 4 Sr 3.53
Sr  0.0000  0.0000  0.0000  8 Tl 3.53, 4 Sr 3.91
Tl  0.5000  0.5000  0.6939  8 Pm 3.36-3.40

A plane-wave DFT calculation with PBE was carried out for a geometry-optimized Cs4NiBr6 structure.

Properties
Size of the total moment = 1.9 μB/f.u.
E_tot = -68.03 eV for the cell shown
ρ = 3.670 g/cm3

Cell lengths 9.7320, 9.7320, 10.2212 Å; angles 90.00, 90.00, 90.00 degrees
Closest atoms and distances in Å follow each position.
Sites, in units of the cell vectors:
Br  0.2351  0.4152  0.0000  1 Ni 2.71
Cs  0.6705  0.8295  0.2500  6 Br 3.61-3.62
Ni  0.5000  0.5000  0.0000  6 Br 2.55-2.71
Br  0.7351  0.0848  0.5000  1 Ni 2.71
Br  0.2649  0.9152  0.5000  1 Ni 2.71
Br  0.5000  0.5000  0.7504  1 Ni 2.55
Ni  0.0000  0.0000  0.5000  6 Br 2.55-2.71
Br  0.9152  0.7351  0.5000  1 Ni 2.71
Cs  0.3295  0.1705  0.7500  6 Br 3.61-3.62
Cs  0.1705  0.6705  0.2500  6 Br 3.61-3.62
Cs  0.1705  0.6705  0.7500  6 Br 3.61-3.62
Br  0.5000  0.5000  0.2496  1 Ni 2.55
Br  0.7649  0.5848  0.0000  1 Ni 2.71
Br  0.4152  0.7649  0.0000  1 Ni 2.71
Br  0.5848  0.2351  0.0000  1 Ni 2.71
Br  0.0000  0.0000  0.7496  1 Ni 2.55
Cs  0.8295  0.3295  0.2500  6 Br 3.61-3.62
Br  0.0848  0.2649  0.5000  1 Ni 2.71
Cs  0.6705  0.8295  0.7500  6 Br 3.61-3.62
Cs  0.3295  0.1705  0.2500  6 Br 3.61-3.62
Br  0.0000  0.0000  0.2504  1 Ni 2.55
Cs  0.8295  0.3295  0.7500  6 Br 3.61-3.62